This record from Alexandria describes an optimized crystal structure of SiP2S2. The functional is GGA-PBEsol.

Values from the calculation:
Uncorrected formation energy, meV/atom: 635
Energy, eV per atom: -4.5845

Cell lengths 4.4093, 4.4093, 4.4644 Å; angles 90.00, 90.00, 90.00 degrees
Sites, in units of the cell vectors:
Si: 0.0000 0.0000 0.0000
P: 0.5000 0.5000 0.0000
P: 0.5000 0.5000 0.5000
S: 0.0000 0.5000 0.5000
S: 0.5000 0.0000 0.5000

---

This record from Alexandria describes an optimized crystal structure of Zr3Pt. The functional is GGA-PBEsol.

Values from the calculation:
ΔE_f, meV per atom: -539
Energy, eV per atom: -9.0976

Cell lengths 3.3330, 3.3330, 7.1710 Å; angles 90.00, 90.00, 90.00 degrees
Sites, in units of the cell vectors:
Zr: 0.0000 0.0000 0.0000
Zr: 0.5000 0.5000 0.2747
Zr: 0.5000 0.5000 0.7253
Pt: 0.0000 0.0000 0.5000

---

This record from Alexandria describes an optimized crystal structure of InAgW2. The functional is GGA-PBEsol.

Values from the calculation:
ΔE_f, meV per atom: 487
Energy, eV per atom: -7.9899

Cell lengths 2.8447, 2.8447, 29.1922 Å; angles 90.00, 90.00, 120.00 degrees
Sites, in units of the cell vectors:
In: 0.0000 0.0000 0.0000
In: 0.3333 0.6667 0.6667
In: 0.6667 0.3333 0.3333
Ag: 0.0000 0.0000 0.2472
Ag: 0.3333 0.6667 0.9138
Ag: 0.6667 0.3333 0.5805
W: 0.0000 0.0000 0.4983
W: 0.0000 0.0000 0.7513
W: 0.3333 0.6667 0.1650
W: 0.3333 0.6667 0.4180
W: 0.6667 0.3333 0.0846
W: 0.6667 0.3333 0.8317

---

| no. | N(E_F) (states/eV/f.u.) |
| --- | --- |
| 1 | 2.8 |
| 2 | 3.2 |
| 3 | 2.3 |